Entry 1:
Entry from the Open Quantum Materials Database: an optimized crystal structure of TaZnCo2 (PBE). Values from VASP.

Cell and atoms, written as Quantum ESPRESSO input:
```
&SYSTEM
  ibrav = 0, nat = 4, ntyp = 3
/
ATOMIC_SPECIES
Ta 180.95 Ta.upf
Zn 65.41 Zn.upf
Co 58.93 Co.upf
ATOMIC_POSITIONS crystal
Ta 0.0000 0.0000 0.0000
Zn 0.0000 0.0000 0.5000
Co 0.5000 0.5000 0.2500
Co 0.5000 0.5000 0.7500
CELL_PARAMETERS angstrom
3.0618 0.0000 0.0000
0.0000 3.0618 0.0000
0.0000 0.0000 5.5662
```

energy of formation from the pure elements	-0.19	eV/atom
crystal system	tetragonal

---

Entry 2:
Entry from the Open Quantum Materials Database: an optimized crystal structure of TaZnCo2 (PBE). Values from VASP.

Cell and atoms, written as Quantum ESPRESSO input:
```
&SYSTEM
  ibrav = 0, nat = 16, ntyp = 3
/
ATOMIC_SPECIES
Ta 180.95 Ta.upf
Zn 65.41 Zn.upf
Co 58.93 Co.upf
ATOMIC_POSITIONS crystal
Ta 0.0000 0.0000 0.0000
Ta 0.0000 0.5000 0.5000
Ta 0.5000 0.0000 0.5000
Ta 0.5000 0.5000 0.0000
Zn 0.2500 0.2500 0.7500
Zn 0.2500 0.7500 0.2500
Zn 0.7500 0.2500 0.2500
Zn 0.7500 0.7500 0.7500
Co 0.0000 0.0000 0.5000
Co 0.0000 0.5000 0.0000
Co 0.2500 0.2500 0.2500
Co 0.2500 0.7500 0.7500
Co 0.5000 0.0000 0.0000
Co 0.5000 0.5000 0.5000
Co 0.7500 0.2500 0.7500
Co 0.7500 0.7500 0.2500
CELL_PARAMETERS angstrom
5.9183 0.0000 0.0000
0.0000 5.9183 0.0000
0.0000 0.0000 5.9183
```

energy of formation from the pure elements	0.18	eV/atom
crystal system	cubic

---

Entry 3:
Entry from the Open Quantum Materials Database: an optimized crystal structure of TaZnCo2 (PBE). Values from VASP.

Cell and atoms, written as Quantum ESPRESSO input:
```
&SYSTEM
  ibrav = 0, nat = 8, ntyp = 3
/
ATOMIC_SPECIES
Ta 180.95 Ta.upf
Zn 65.41 Zn.upf
Co 58.93 Co.upf
ATOMIC_POSITIONS crystal
Ta 0.0000 0.0000 0.0000
Ta 0.0000 0.0000 0.5000
Zn 0.3333 0.6667 0.2500
Zn 0.6667 0.3333 0.7500
Co 0.3333 0.6667 0.5957
Co 0.3333 0.6667 0.9043
Co 0.6667 0.3333 0.0957
Co 0.6667 0.3333 0.4043
CELL_PARAMETERS angstrom
4.1511 0.0000 0.0000
-2.0755 3.5949 0.0000
0.0000 0.0000 7.2437
```

energy of formation from the pure elements	-0.02	eV/atom
crystal system	hexagonal

---

Entry 4:
Entry from the Open Quantum Materials Database: an optimized crystal structure of TaZnCo2 (PBE). Values from VASP.

Cell and atoms, written as Quantum ESPRESSO input:
```
&SYSTEM
  ibrav = 0, nat = 8, ntyp = 3
/
ATOMIC_SPECIES
Ta 180.95 Ta.upf
Zn 65.41 Zn.upf
Co 58.93 Co.upf
ATOMIC_POSITIONS crystal
Ta 0.0000 0.0000 0.0000
Ta 0.5000 0.5000 0.0000
Zn 0.0000 0.5000 0.0000
Zn 0.5000 0.0000 0.0000
Co 0.2500 0.2500 0.5000
Co 0.2500 0.7500 0.5000
Co 0.7500 0.2500 0.5000
Co 0.7500 0.7500 0.5000
CELL_PARAMETERS angstrom
5.7359 0.0000 0.0000
0.0000 5.7831 0.0000
0.0000 0.0000 3.1208
```

energy of formation from the pure elements	-0.12	eV/atom
crystal system	orthorhombic

---

Entry 5:
Entry from the Open Quantum Materials Database: an optimized crystal structure of ZrTaZnCo (PBE). Values from VASP.

Cell and atoms, written as Quantum ESPRESSO input:
```
&SYSTEM
  ibrav = 0, nat = 16, ntyp = 4
/
ATOMIC_SPECIES
Zr 91.22 Zr.upf
Ta 180.95 Ta.upf
Zn 65.41 Zn.upf
Co 58.93 Co.upf
ATOMIC_POSITIONS crystal
Zr 0.0000 0.0000 0.0000
Zr 0.0000 0.5000 0.5000
Zr 0.5000 0.0000 0.5000
Zr 0.5000 0.5000 0.0000
Ta 0.2500 0.2500 0.7500
Ta 0.2500 0.7500 0.2500
Ta 0.7500 0.2500 0.2500
Ta 0.7500 0.7500 0.7500
Zn 0.2500 0.2500 0.2500
Zn 0.2500 0.7500 0.7500
Zn 0.7500 0.2500 0.7500
Zn 0.7500 0.7500 0.2500
Co 0.0000 0.0000 0.5000
Co 0.0000 0.5000 0.0000
Co 0.5000 0.0000 0.0000
Co 0.5000 0.5000 0.5000
CELL_PARAMETERS angstrom
6.3814 0.0000 0.0000
0.0000 6.3814 0.0000
0.0000 0.0000 6.3814
```

energy of formation from the pure elements	0.22	eV/atom
crystal system	cubic

---

Entry 6:
Entry from the Open Quantum Materials Database: an optimized crystal structure of ZrTaCo (PBE). Values from VASP.

Cell and atoms, written as Quantum ESPRESSO input:
```
&SYSTEM
  ibrav = 0, nat = 12, ntyp = 3
/
ATOMIC_SPECIES
Zr 91.22 Zr.upf
Ta 180.95 Ta.upf
Co 58.93 Co.upf
ATOMIC_POSITIONS crystal
Zr 0.0000 0.0000 0.0000
Zr 0.0000 0.5000 0.5000
Zr 0.5000 0.0000 0.5000
Zr 0.5000 0.5000 0.0000
Ta 0.0000 0.0000 0.5000
Ta 0.0000 0.5000 0.0000
Ta 0.5000 0.0000 0.0000
Ta 0.5000 0.5000 0.5000
Co 0.2500 0.2500 0.7500
Co 0.2500 0.7500 0.2500
Co 0.7500 0.2500 0.2500
Co 0.7500 0.7500 0.7500
CELL_PARAMETERS angstrom
6.0697 0.0000 0.0000
0.0000 6.0697 0.0000
0.0000 0.0000 6.0697
```

energy of formation from the pure elements	0.16	eV/atom
crystal system	cubic

---

Which value of energy of formation from the pure elements does entry 2 give?
0.18 eV/atom